Here is a relaxed structure of AlSeCl2 from Alexandria via LeMat-Bulk. Energies are from PBE-GGA.

POSCAR file:
```
AlSeCl2
1.0
3.051 0.000 0.000
0.000 3.051 0.000
0.000 0.000 10.363
Al Se Cl
1 1 2
Direct
0.000 0.000 0.000
0.000 0.000 0.500
0.500 0.500 0.148
0.500 0.500 0.852
```

E = -2.90 eV/atom
total moment = 0.0 μB per formula unit
E above lowest polymorph = 2.96 eV per formula unit
raw formation energy = -65 kJ/mol of formula units